Record 1
Here is a relaxed PrSm2HfN4 crystal from Alexandria via LeMat-Bulk. Energies are from PBE.

a b c (Å): 3.490 6.103 6.063
angles (deg): 109.12 90.00 90.00
Fractional positions:
1 Sm 0.000 0.500 0.500
2 Pr 0.500 0.500 0.000
3 N 0.500 0.777 0.772
4 Sm 0.500 0.000 0.500
5 N 0.500 0.223 0.228
6 Hf 0.000 0.000 0.000
7 N 0.000 0.772 0.237
8 N 0.000 0.228 0.763

Values from the calculation:
- formation energy without anion corrections (meV per atom) = -1485
- energy (eV/atom) = -8.67
- SG = P2/m
- magnetic moment (μB per formula unit) = 0.0

=====

Record 2
Here is a relaxed Pr2SmHfN4 crystal from Alexandria via LeMat-Bulk. Energies are from PBE.

a b c (Å): 3.503 6.101 6.146
angles (deg): 108.98 90.00 90.00
Fractional positions:
1 N 0.500 0.777 0.782
2 N 0.000 0.764 0.226
3 Pr 0.500 0.000 0.500
4 N 0.500 0.223 0.218
5 Pr 0.000 0.500 0.500
6 Hf 0.000 0.000 0.000
7 Sm 0.500 0.500 0.000
8 N 0.000 0.236 0.774

Values from the calculation:
- formation energy without anion corrections (meV per atom) = -1455
- energy (eV/atom) = -8.65
- SG = P2/m
- magnetic moment (μB per formula unit) = 0.0

=====

Record 3
Here is a relaxed Pr2HfSnN5 crystal from Alexandria via LeMat-Bulk. Energies are from PBE.

a b c (Å): 3.440 7.332 10.625
angles (deg): 90.00 90.00 103.57
Last column: magnetic moment on the atom in μB.
Fractional positions:
1 N 0.695 0.390 0.874  0.09
2 N 0.284 0.569 0.643  0.14
3 Pr 0.116 0.233 0.701  0.01
4 Hf 0.221 0.442 0.003  -0.01
5 Hf 0.779 0.558 0.503  -0.01
6 N 0.937 0.874 0.560  0.04
7 Pr 0.134 0.268 0.286  0.00
8 N 0.063 0.126 0.060  0.04
9 N 0.499 0.998 0.779  0.06
10 Sn 0.518 0.036 0.973  0.00
11 Pr 0.884 0.767 0.201  0.01
12 N 0.716 0.431 0.143  0.14
13 N 0.501 0.002 0.279  0.06
14 N 0.633 0.266 0.505  0.03
15 Sn 0.482 0.964 0.473  0.00
16 N 0.305 0.610 0.374  0.09
17 Pr 0.866 0.732 0.786  0.00
18 N 0.367 0.734 0.005  0.03

Values from the calculation:
- formation energy without anion corrections (meV per atom) = -840
- energy (eV/atom) = -8.08
- SG = Cmc2_1
- magnetic moment (μB per formula unit) = 0.5